No. 1
Entry from Alexandria: crystalline Zn2PRu at its relaxed geometry (GGA-PBE).

Cell lengths 8.550, 8.550, 8.550 Å; angles 19.12, 19.12, 19.12 degrees
Atoms (fractional coordinates):
Zn 0.249 0.249 0.249
Zn 0.751 0.751 0.751
P 0.000 0.000 0.000
Ru 0.500 0.500 0.500

## Properties
The symmetry is No. 166.

=====

No. 2
Entry from Alexandria: crystalline Li2Cu3Rh at its relaxed geometry (GGA-PBE).

Cell lengths 4.473, 4.473, 8.633 Å; angles 90.00, 90.00, 60.05 degrees
Atoms (fractional coordinates):
Li 0.008 0.660 0.750
Li 0.340 0.992 0.750
Li 0.660 0.008 0.250
Li 0.992 0.340 0.250
Cu 0.000 0.000 0.000
Cu 0.000 0.000 0.500
Cu 0.335 0.335 0.000
Cu 0.335 0.335 0.500
Cu 0.665 0.665 0.000
Cu 0.665 0.665 0.500
Rh 0.324 0.676 0.250
Rh 0.676 0.324 0.750

## Properties
The symmetry is No. 63. The distance to the lowest polymorph of the same formula comes out at 0.00 eV per formula unit.

=====

No. 3
Entry from Alexandria: crystalline LaSnAu at its relaxed geometry (GGA-PBE).

Cell lengths 5.705, 5.705, 6.469 Å; angles 90.00, 90.00, 131.49 degrees
Atoms (fractional coordinates):
La 0.192 0.808 0.750
La 0.808 0.192 0.250
Sn 0.500 0.500 0.000
Sn 0.500 0.500 0.500
Au 0.114 0.886 0.250
Au 0.886 0.114 0.750

## Properties
The symmetry is No. 63.

=====

No. 4
Entry from Alexandria: crystalline La2DyHo9 at its relaxed geometry (GGA-PBE).

Cell lengths 11.317, 11.317, 3.475 Å; angles 90.00, 90.00, 120.00 degrees
Atoms (fractional coordinates):
La 0.333 0.667 0.000
La 0.667 0.333 0.000
Dy 0.000 0.000 0.000
Ho 0.000 0.500 0.000
Ho 0.172 0.343 0.500
Ho 0.172 0.828 0.500
Ho 0.343 0.172 0.500
Ho 0.500 0.000 0.000
Ho 0.500 0.500 0.000
Ho 0.657 0.828 0.500
Ho 0.828 0.172 0.500
Ho 0.828 0.657 0.500

## Properties
The symmetry is No. 191. The distance to the lowest polymorph of the same formula comes out at 0.73 eV per formula unit.

=====

Electronic total energy: -4.09, -3.99, -4.87, -4.55 (eV/atom)
E_form: 0.2151, -0.0782, -0.7967, 0.0919 (eV/atom)